Entry 1:
Entry from the Alexandria database: crystalline SmZnAgRh at its relaxed geometry (GGA-PBE).

abc: 4.7772 4.7772 4.7772
angles: 60.00 60.00 60.00
Closest atoms and distances in Å follow each position.
Fractional positions:
1 Sm 0.5000 0.5000 0.5000  4 Ag 2.93, 4 Rh 2.93
2 Ag 0.2500 0.2500 0.2500  4 Zn 2.93, 4 Sm 2.93
3 Rh 0.7500 0.7500 0.7500  4 Sm 2.93, 4 Zn 2.93
4 Zn 0.0000 0.0000 0.0000  4 Rh 2.93, 4 Ag 2.93

Properties
energy of formation = -0.32 eV per atom
M_tot = 0.000 μB per atom


Entry 2:
Entry from the Alexandria database: crystalline La2TbTh at its relaxed geometry (GGA-PBE).

abc: 5.8114 5.8114 5.8114
angles: 60.00 60.00 60.00
Closest atoms and distances in Å follow each position.
Fractional positions:
1 Tb 0.0000 0.0000 0.0000  8 La 3.56
2 La 0.7500 0.7500 0.7500  4 Tb 3.56, 4 Th 3.56
3 Th 0.5000 0.5000 0.5000  8 La 3.56
4 La 0.2500 0.2500 0.2500  4 Tb 3.56, 4 Th 3.56

Properties
E above lowest polymorph = 0.74 eV/f.u.
energy of formation = 0.21 eV per atom
M_tot = 0.080 μB per atom


Entry 3:
Entry from the Alexandria database: crystalline Pr2HoIn4 at its relaxed geometry (GGA-PBE).

abc: 5.6097 5.6097 9.0478
angles: 108.06 108.06 90.00
Closest atoms and distances in Å follow each position.
Fractional positions:
1 Pr 0.3861 0.3861 0.7722  5 In 3.26-3.36
2 In 0.8143 0.8143 0.6287  1 Ho 3.02, 1 Pr 3.26
3 In 0.0000 0.5000 0.0000  2 Ho 2.80
4 Ho 0.0000 0.0000 0.0000  6 In 2.80-3.02
5 Pr 0.6139 0.6139 0.2278  5 In 3.26-3.36
6 In 0.1857 0.1857 0.3713  1 Ho 3.02, 1 Pr 3.26
7 In 0.5000 0.0000 0.0000  2 Ho 2.80

Properties
E above lowest polymorph = 3.02 eV/f.u.
energy of formation = 0.11 eV per atom
M_tot = 0.171 μB per atom


Entry 4:
Entry from the Alexandria database: crystalline Ba6AgPt3 at its relaxed geometry (GGA-PBE).

abc: 4.6881 13.2292 13.4674
angles: 108.87 90.00 90.00
Closest atoms and distances in Å follow each position.
Fractional positions:
1 Pt 0.2500 0.5535 0.1654  6 Ba 3.16-3.27
2 Ba 0.2500 0.5340 0.3932  3 Pt 3.16
3 Ba 0.2500 0.2830 0.7364  3 Pt 3.17-3.30
4 Ba 0.7500 0.7170 0.2636  3 Pt 3.17-3.30
5 Ba 0.2500 0.0747 0.9105  3 Pt 3.13-3.19
6 Ba 0.2500 0.2142 0.2411  3 Pt 3.13-3.31
7 Ba 0.2500 0.6076 0.9448  4 Pt 3.19-3.27
8 Pt 0.7500 0.4465 0.8346  6 Ba 3.16-3.27
9 Pt 0.2500 0.3072 0.5004  6 Ba 3.16-3.31
10 Ba 0.7500 0.3924 0.0552  4 Pt 3.19-3.27
11 Ba 0.2500 0.8708 0.5368  2 Pt 3.24, 3 Ag 3.56-3.62
12 Ba 0.7500 0.7858 0.7589  3 Pt 3.13-3.31
13 Pt 0.7500 0.6928 0.4996  6 Ba 3.16-3.31
14 Ag 0.2500 0.9464 0.3013  8 Ba 3.56-3.88
15 Ba 0.7500 0.9253 0.0895  3 Pt 3.13-3.19
16 Pt 0.2500 0.8422 0.9221  6 Ba 3.13-3.22
17 Ba 0.7500 0.4660 0.6068  3 Pt 3.16
18 Pt 0.7500 0.1578 0.0779  6 Ba 3.13-3.22
19 Ba 0.7500 0.1292 0.4632  2 Pt 3.24, 3 Ag 3.56-3.62
20 Ag 0.7500 0.0536 0.6987  8 Ba 3.56-3.88

Properties
energy of formation = -0.57 eV per atom
M_tot = 0.000 μB per atom


- Among the records above, which one has the highest M_tot?
  Pr2HoIn4


- What is the formula in the first record?
  SmZnAgRh